TaRu5: relaxed, PBE.

Properties
**ΔH_f (0 K)**: -0.088 eV/atom
**Density**: 13.04 g cm⁻³
**Crystal system**: monoclinic
**Space-group type**: Cm, No. 8

Cell: 2.780 5.176 6.498 Å, 76.61 90.00 105.58°
Atoms (fractional coordinates):
1 Ru 0.053 0.106 0.394
2 Ru 0.996 0.992 0.000
3 Ru 0.338 0.675 0.339
4 Ru 0.392 0.783 0.719
5 Ru 0.667 0.333 0.662
6 Ta 0.722 0.443 0.053